No. 1
# Ca2HfScAs4 (PBE-GGA, optimized geometry)
# Total magnetic moment, μB/f.u.: 0.000
# E_form, eV/atom: -1.16
# DOS(E_F), states/eV/cell: 2.88
data_Ca2HfScAs4
_chemical_formula_sum 'Ca2 Hf1 Sc1 As4'
_cell_length_a 6.8858
_cell_length_b 3.9645
_cell_length_c 7.1920
_cell_angle_alpha 90.00
_cell_angle_beta 108.51
_cell_angle_gamma 90.00
_space_group_name_H-M_alt 'P 1 2/m 1'
_space_group_IT_number 10
loop_
_space_group_symop_operation_xyz
'x,y,z'
'-x,-y,-z'
'-x,y,-z'
'x,-y,z'
loop_
_atom_site_label
_atom_site_type_symbol
_atom_site_fract_x
_atom_site_fract_y
_atom_site_fract_z
Ca1 Ca 0.0000 0.0000 0.0000
Ca2 Ca 0.5000 0.5000 0.0000
Hf1 Hf 0.0000 0.5000 0.5000
Sc1 Sc 0.5000 0.0000 0.5000
As1 As 0.2380 0.0000 0.7229
As2 As 0.2557 0.5000 0.2769

---

No. 2
# CrTeBr2 (PBE-GGA, optimized geometry)
# Total magnetic moment, μB/f.u.: 0.000
# ΔE to the lowest computed polymorph, eV/atom: 0.8390
# DOS(E_F), states/eV/cell: 17.33
data_CrTeBr2
_chemical_formula_sum 'Cr4 Te4 Br8'
_cell_length_a 7.0644
_cell_length_b 7.0644
_cell_length_c 9.8530
_cell_angle_alpha 90.00
_cell_angle_beta 90.00
_cell_angle_gamma 90.00
_space_group_name_H-M_alt 'I -4 2 d'
_space_group_IT_number 122
_space_group_name_Hall 'I -4 2bw'
loop_
_atom_site_label
_atom_site_type_symbol
_atom_site_fract_x
_atom_site_fract_y
_atom_site_fract_z
Cr1 Cr 0.0000 0.0000 0.0000
Te1 Te 0.0000 0.0000 0.5000
Br1 Br 0.1215 0.2500 0.1250

---

No. 3
# LuTaIrRu (PBE-GGA, optimized geometry)
# Total magnetic moment, μB/f.u.: 0.001
# E_form, eV/atom: -0.54
# DOS(E_F), states/eV/cell: 13.96
data_LuTaIrRu
_chemical_formula_sum 'Lu4 Ta4 Ir4 Ru4'
_cell_length_a 6.5121
_cell_length_b 6.5121
_cell_length_c 6.5121
_cell_angle_alpha 90.00
_cell_angle_beta 90.00
_cell_angle_gamma 90.00
_space_group_name_H-M_alt 'F -4 3 m'
_space_group_IT_number 216
_space_group_name_Hall 'F -4 2 3'
loop_
_atom_site_label
_atom_site_type_symbol
_atom_site_fract_x
_atom_site_fract_y
_atom_site_fract_z
Lu1 Lu 0.0000 0.0000 0.0000
Ta1 Ta 0.0000 0.0000 0.5000
Ir1 Ir 0.2500 0.2500 0.2500
Ru1 Ru 0.2500 0.2500 0.7500